# 1
TaZn2Se | Alexandria via LeMat-Bulk | GGA-PBEsol | optimized geometry; symmetry = P2/m, No. 10; spin magnetization = 0.000 μB per formula unit; DOS(E_F) = 0.4533 states/eV/atom
1.0
2.854 0.000 -0.019
0.000 4.765 0.000
-1.148 0.000 4.769
Zn Se Ta
2 1 1
Direct
0.649 0.000 0.750
0.351 0.000 0.250
0.500 0.500 0.000
0.000 0.500 0.500


# 2
RbPtI2N | Alexandria via LeMat-Bulk | GGA-PBEsol | optimized geometry; symmetry = P4/mmm, No. 123; spin magnetization = 0.000 μB per formula unit; DOS(E_F) = 0.3707 states/eV/atom
1.0
3.743 0.000 0.000
0.000 5.944 0.000
0.000 0.000 5.944
Rb I Pt N
1 2 1 1
Direct
0.500 0.500 0.500
0.000 0.500 0.000
0.000 0.000 0.500
0.000 0.000 0.000
0.500 0.000 0.000


The records above give, respectively, E_form (uncorrected) values of 0.188; -0.175 eV/atom.
The records above give, respectively, E_tot values of -0.34568; -0.30758 Ry/atom.